# 1
First-principles (PBE-GGA) data for Sr4PI2 after structural relaxation, as listed in Alexandria via LeMat-Bulk.

a = 6.005 Å, b = 6.005 Å, c = 9.277 Å
α = 71.12°, β = 71.12°, γ = 90.00°
Atoms (fractional coordinates):
I 0.611 0.611 0.778
I 0.389 0.389 0.222
Sr 0.812 0.812 0.377
Sr 0.188 0.188 0.623
Sr 0.000 0.500 0.000
Sr 0.500 0.000 0.000
P 0.000 0.000 0.000

Results
raw formation energy = -0.953 eV/atom
symmetry = I4/mmm, No. 139
uncorrected energy = -3.13 eV per atom

***

# 2
First-principles (PBE-GGA) data for Sr2ErBr after structural relaxation, as listed in Alexandria via LeMat-Bulk.

a = 3.868 Å, b = 3.868 Å, c = 12.108 Å
α = 80.81°, β = 80.81°, γ = 60.00°
Last column: magnetic moment on the atom in μB.
Atoms (fractional coordinates):
Sr 0.101 0.101 0.698  0.01
Sr 0.899 0.899 0.302  0.01
Br 0.500 0.500 0.500  0.00
Er 0.000 0.000 0.000  0.27

Results
raw formation energy = -0.352 eV/atom
symmetry = R-3m, No. 166
uncorrected energy = -2.75 eV per atom

***

# 3
First-principles (PBE-GGA) data for TiSi2As after structural relaxation, as listed in Alexandria via LeMat-Bulk.

a = 6.119 Å, b = 6.119 Å, c = 6.478 Å
α = 61.82°, β = 61.82°, γ = 90.00°
Atoms (fractional coordinates):
As 0.000 0.000 0.000
As 0.750 0.250 0.500
Si 0.644 0.125 0.250
Si 0.106 0.625 0.250
Si 0.375 0.356 0.750
Si 0.875 0.894 0.750
Ti 0.500 0.500 0.000
Ti 0.250 0.750 0.500

Results
raw formation energy = 0.386 eV/atom
symmetry = I-42d, No. 122
uncorrected energy = -5.46 eV per atom

***

# 4
First-principles (PBE-GGA) data for Na2Sr6Mg after structural relaxation, as listed in Alexandria via LeMat-Bulk.

a = 6.117 Å, b = 11.740 Å, c = 11.738 Å
α = 90.00°, β = 90.00°, γ = 90.00°
Atoms (fractional coordinates):
Na 0.000 0.300 0.799
Na 0.500 0.800 0.701
Na 0.500 0.200 0.299
Na 0.000 0.700 0.201
Sr 0.000 0.027 0.185
Sr 0.000 0.684 0.527
Sr 0.000 0.622 0.878
Sr 0.500 0.122 0.622
Sr 0.500 0.184 0.973
Sr 0.500 0.527 0.315
Sr 0.000 0.973 0.815
Sr 0.000 0.316 0.473
Sr 0.000 0.378 0.122
Sr 0.500 0.878 0.378
Sr 0.500 0.816 0.027
Sr 0.500 0.473 0.685
Mg 0.500 0.500 0.000
Mg 0.000 0.000 0.500

Results
calculated formation energy = 0.02 eV/atom
symmetry = P4_2/mnm, No. 136
uncorrected energy = -1.57 eV per atom

***

# 5
First-principles (PBE-GGA) data for Mg2CrRh after structural relaxation, as listed in Alexandria via LeMat-Bulk.

a = 4.246 Å, b = 2.840 Å, c = 5.448 Å
α = 78.09°, β = 90.00°, γ = 90.00°
Atoms (fractional coordinates):
Cr 0.500 0.650 0.722
Mg 0.000 0.973 0.978
Mg 0.500 0.277 0.271
Rh 0.000 0.600 0.529

Results
calculated formation energy = 0.11 eV/atom
energy above the lowest structure with this stoichiometry = 0.165 eV/atom
symmetry = Pm, No. 6
uncorrected energy = -4.93 eV per atom

***

# 6
First-principles (PBE-GGA) data for SmThRe4 after structural relaxation, as listed in Alexandria via LeMat-Bulk.

a = 5.511 Å, b = 5.511 Å, c = 5.511 Å
α = 60.00°, β = 60.00°, γ = 60.00°
Atoms (fractional coordinates):
Re 0.625 0.625 0.125
Re 0.625 0.125 0.625
Re 0.625 0.625 0.625
Re 0.125 0.625 0.625
Sm 0.250 0.250 0.250
Th 0.000 0.000 0.000

Results
calculated formation energy = -0.02 eV/atom
symmetry = F-43m, No. 216
uncorrected energy = -10.34 eV per atom

***

| no. | calculated density (g/cm³) |
| --- | --- |
| 1 | 3.55 |
| 2 | 4.55 |
| 3 | 3.29 |
| 4 | 2.35 |
| 5 | 5.26 |
| 6 | 15.81 |